## FeIr4Ru4 (GGA-PBE)

Data for a relaxed structure of FeIr4Ru4.

Computed properties:
For the total DFT energy (no corrections), the calculation gives -81.06 eV per cell. As for the magnetic moment: 1.4 μB/cell. Its energy relative to the elements is -0.01 eV per atom. Its density of states at the Fermi level is 9.239 states/eV/f.u. The volume comes out at 14.0 A^3/atom.

abc: 6.053 6.053 6.053
angles: 95.69 95.69 143.29
Element x y z (fractional)
Fe (0.000, 0.000, 0.000)
Ir (0.334, 0.334, 0.668)
Ir (0.334, 0.666, 0.000)
Ir (0.666, 0.334, 0.000)
Ir (0.666, 0.666, 0.332)
Ru (0.000, 0.336, 0.336)
Ru (0.000, 0.664, 0.664)
Ru (0.336, 0.000, 0.336)
Ru (0.664, 0.000, 0.664)

## La3NdSc (GGA-PBE)

Data for a relaxed structure of La3NdSc.

Computed properties:
For the total DFT energy (no corrections), the calculation gives -51.36 eV per cell. As for the magnetic moment: 0.0 μB/cell. Its energy relative to the elements is 0.04 eV per atom. Its density of states at the Fermi level is 7.813 states/eV/f.u. The volume comes out at 33.6 A^3/atom.

abc: 6.263 6.274 9.593
angles: 70.96 83.70 70.36
Element x y z (fractional)
La (0.249, 0.251, 0.498)
La (0.250, 0.450, 0.099)
La (0.251, 0.052, 0.895)
La (0.749, 0.948, 0.105)
La (0.750, 0.550, 0.901)
La (0.751, 0.749, 0.502)
Nd (0.250, 0.845, 0.309)
Nd (0.750, 0.155, 0.691)
Sc (0.250, 0.649, 0.701)
Sc (0.750, 0.351, 0.299)

## CsK2In3F12 (GGA-PBE)

Data for a relaxed structure of CsK2In3F12.

Computed properties:
For the total DFT energy (no corrections), the calculation gives -81.24 eV per cell. The uncorrected formation energy is -47.52 eV per formula unit. As for the magnetic moment: 0.3 μB/cell. Its density of states at the Fermi level is 0.000 states/eV/f.u. The volume comes out at 19.3 A^3/atom.

abc: 7.729 7.729 7.729
angles: 62.97 62.97 62.97
Element x y z (fractional)
Cs (0.000, 0.000, 0.000)
K (0.369, 0.369, 0.369)
K (0.631, 0.631, 0.631)
In (0.000, 0.000, 0.500)
In (0.000, 0.500, 0.000)
In (0.500, 0.000, 0.000)
F (0.113, 0.727, 0.727)
F (0.139, 0.139, 0.543)
F (0.139, 0.543, 0.139)
F (0.273, 0.273, 0.887)
F (0.273, 0.887, 0.273)
F (0.457, 0.861, 0.861)
F (0.543, 0.139, 0.139)
F (0.727, 0.113, 0.727)
F (0.727, 0.727, 0.113)
F (0.861, 0.457, 0.861)
F (0.861, 0.861, 0.457)
F (0.887, 0.273, 0.273)

## PmNbO4F (GGA-PBE)

Data for a relaxed structure of PmNbO4F.

Computed properties:
For the total DFT energy (no corrections), the calculation gives -111.20 eV per cell. The uncorrected formation energy is -19.07 eV per formula unit. As for the magnetic moment: 0.0 μB/cell. The volume comes out at 17.9 A^3/atom.

abc: 6.205 6.205 6.916
angles: 98.90 98.90 73.85
Element x y z (fractional)
Pm (0.194, 0.194, 0.079)
Pm (0.806, 0.806, 0.921)
Nb (0.373, 0.373, 0.708)
Nb (0.627, 0.627, 0.292)
O (0.121, 0.494, 0.844)
O (0.301, 0.301, 0.434)
O (0.434, 0.434, 0.242)
O (0.494, 0.121, 0.844)
O (0.506, 0.879, 0.156)
O (0.566, 0.566, 0.758)
O (0.699, 0.699, 0.566)
O (0.879, 0.506, 0.156)
F (0.012, 0.012, 0.814)
F (0.988, 0.988, 0.186)

What did the first record say?
## FeIr4Ru4 (GGA-PBE)

Data for a relaxed structure of FeIr4Ru4.

Computed properties:
For the total DFT energy (no corrections), the calculation gives -81.06 eV per cell. As for the magnetic moment: 1.4 μB/cell. Its energy relative to the elements is -0.01 eV per atom. Its density of states at the Fermi level is 9.239 states/eV/f.u. The volume comes out at 14.0 A^3/atom.

abc: 6.053 6.053 6.053
angles: 95.69 95.69 143.29
Element x y z (fractional)
Fe (0.000, 0.000, 0.000)
Ir (0.334, 0.334, 0.668)
Ir (0.334, 0.666, 0.000)
Ir (0.666, 0.334, 0.000)
Ir (0.666, 0.666, 0.332)
Ru (0.000, 0.336, 0.336)
Ru (0.000, 0.664, 0.664)
Ru (0.336, 0.000, 0.336)
Ru (0.664, 0.000, 0.664)

- Among the records above, which one has the lowest total DFT energy (no corrections)?
  PmNbO4F

- What is the magnetic moment in the second record?
  0.0 μB/cell

- Which value of magnetic moment does entry 2 give?
  0.0 μB/cell